(1)
This record from the Open Quantum Materials Database describes a geometry-optimized NaLaCdTe3 structure. The functional is PBE-GGA.

extended XYZ file:
```
24
Lattice="15.0485 0.0000 0.0000 0.0000 4.5692 0.0000 0.0000 0.0000 12.3840" Properties=species:S:1:pos:R:3 pbc="T T T"
Na 3.5944 1.1423 0.9934
Na 3.9298 3.4269 7.1854
Na 11.1187 1.1423 5.1986
Na 11.4541 3.4269 11.3906
La 0.2891 1.1423 4.2123
La 7.2351 3.4269 10.4043
La 7.8133 1.1423 1.9797
La 14.7594 3.4269 8.1717
Cd 0.1795 3.4269 1.1990
Cd 7.3447 1.1423 7.3910
Cd 7.7038 3.4269 4.9930
Cd 14.8690 1.1423 11.1850
Te 1.6000 3.4269 10.9736
Te 1.6890 1.1423 7.0869
Te 2.2765 3.4269 3.0834
Te 5.2478 1.1423 9.2755
Te 5.8352 3.4269 0.8949
Te 5.9243 1.1423 4.7816
Te 9.1242 3.4269 7.6024
Te 9.2133 1.1423 11.4891
Te 9.8007 3.4269 3.1086
Te 12.7720 1.1423 9.3006
Te 13.3595 3.4269 5.2971
Te 13.4485 1.1423 1.4104
```

Values from the calculation:
**Crystal system**: orthorhombic
**ΔE to the lowest computed polymorph**: 0.008 eV/atom



(2)
This record from the Open Quantum Materials Database describes a geometry-optimized PmAgTeO structure. The functional is PBE-GGA.

extended XYZ file:
```
8
Lattice="4.1450 0.0000 0.0000 0.0000 4.1450 0.0000 0.0000 0.0000 9.9140" Properties=species:S:1:pos:R:3 pbc="T T T"
Pm 1.0363 1.0363 1.1116
Pm 3.1088 3.1088 8.8024
Ag 1.0363 3.1088 4.9570
Ag 3.1088 1.0363 4.9570
Te 1.0363 1.0363 6.9975
Te 3.1088 3.1088 2.9165
O 1.0363 3.1088 0.0000
O 3.1088 1.0363 0.0000
```

Values from the calculation:
**Crystal system**: tetragonal
**ΔE to the lowest computed polymorph**: 0.000 eV/atom



(3)
This record from the Open Quantum Materials Database describes a geometry-optimized HoTmAg2Sb4 structure. The functional is PBE-GGA.

extended XYZ file:
```
8
Lattice="4.3180 0.0000 0.0000 0.0000 4.3180 0.0000 0.0000 0.0000 10.3826" Properties=species:S:1:pos:R:3 pbc="T T T"
Ho 0.0000 0.0000 0.0000
Tm 2.1590 2.1590 5.4954
Ag 0.0000 2.1590 2.7505
Ag 2.1590 0.0000 2.7505
Sb 0.0000 0.0000 4.6945
Sb 0.0000 2.1590 7.9283
Sb 2.1590 0.0000 7.9283
Sb 2.1590 2.1590 0.8082
```

Values from the calculation:
**Crystal system**: tetragonal



(4)
This record from the Open Quantum Materials Database describes a geometry-optimized TcMoOs6 structure. The functional is PBE-GGA.

extended XYZ file:
```
8
Lattice="5.5240 0.0000 0.0000 -2.7620 4.7839 0.0000 0.0000 0.0000 4.3690" Properties=species:S:1:pos:R:3 pbc="T T T"
Tc 0.0000 0.0000 0.0000
Mo 0.0000 3.1893 2.1845
Os 1.3716 0.7919 2.1845
Os 2.7620 0.0132 0.0000
Os 1.3924 2.3854 0.0000
Os 4.1524 0.7919 2.1845
Os 2.7620 3.2002 2.1845
Os 4.1316 2.3854 0.0000
```

Values from the calculation:
**ΔH_f (0 K)**: -0.064 eV per atom
**Crystal system**: hexagonal



(5)
This record from the Open Quantum Materials Database describes a geometry-optimized ZnAg2C4S4N4 structure. The functional is PBE-GGA.

extended XYZ file:
```
30
Lattice="9.8704 -3.8540 0.0000 9.8704 3.8540 0.0000 -0.8877 0.0000 7.7025" Properties=species:S:1:pos:R:3 pbc="T T T"
Zn 9.2046 2.5837 5.7768
Zn 9.6485 -2.5837 1.9256
Ag 5.6123 0.7381 1.7897
Ag 5.1684 -0.7381 5.6410
Ag 13.6846 0.7381 2.0615
Ag 13.2408 -0.7381 5.9127
C 1.9242 0.2900 5.0687
C 2.3680 -0.2900 1.2174
C 7.7833 0.4417 4.1074
C 8.2272 -0.4417 0.2562
C 10.6259 0.4417 7.4463
C 11.0698 -0.4417 3.5951
C 16.4850 0.2900 6.4850
C 16.9289 -0.2900 2.6338
S 3.4169 0.8666 4.7018
S 6.3886 0.7870 7.4530
S 3.8608 -0.8666 0.8505
S 6.8325 -0.7870 3.6017
S 12.0205 0.7870 4.1007
S 14.9923 0.8666 6.8519
S 12.4644 -0.7870 0.2495
S 15.4362 -0.8666 3.0007
N 1.2951 0.1405 1.4327
N 0.8512 -0.1405 5.2840
N 8.4671 1.3358 4.4592
N 9.9421 1.3358 7.0945
N 8.9110 -1.3358 0.6079
N 10.3860 -1.3358 3.2433
N 18.0019 0.1405 2.4185
N 17.5580 -0.1405 6.2697
```

Values from the calculation:
**Crystal system**: monoclinic



(6)
This record from the Open Quantum Materials Database describes a geometry-optimized La2Pr2H9 structure. The functional is PBE-GGA.

extended XYZ file:
```
13
Lattice="-2.7580 2.7580 5.5707 2.7580 -2.7580 5.5707 2.7580 2.7580 -5.5707" Properties=species:S:1:pos:R:3 pbc="T T T"
La 2.7580 0.0000 0.0000
La 0.0000 2.7580 0.0000
Pr 0.0000 0.0000 2.7367
Pr 0.0000 0.0000 8.4046
H 0.0000 0.0000 0.0000
H 1.4295 1.4295 -1.4318
H 1.3286 -1.3286 4.1389
H 1.4295 1.4295 1.4318
H 1.3286 -1.3286 7.0024
H -1.3286 1.3286 4.1389
H 1.3286 1.3286 4.1389
H -1.3286 1.3286 7.0024
H 1.3286 1.3286 7.0024
```

Values from the calculation:
**Crystal system**: tetragonal
**ΔE to the lowest computed polymorph**: 0.000 eV/atom



(7)
This record from the Open Quantum Materials Database describes a geometry-optimized Y2TmSn3PdPt2 structure. The functional is PBE-GGA.

extended XYZ file:
```
9
Lattice="4.0025 0.0000 0.0000 0.0000 6.4913 3.7732 0.0000 -6.4913 3.7732" Properties=species:S:1:pos:R:3 pbc="T T T"
Y 0.0000 -3.8434 3.7732
Y 0.0000 3.8434 3.7732
Tm 0.0000 0.0000 4.6163
Sn 2.0013 -1.6711 2.5184
Sn 2.0013 1.6711 2.5184
Sn 2.0013 0.0000 7.1317
Pd 0.0000 0.0000 1.5556
Pt 2.0013 -2.1365 5.3029
Pt 2.0013 2.1365 5.3029
```

Values from the calculation:
**Crystal system**: orthorhombic



(8)
This record from the Open Quantum Materials Database describes a geometry-optimized GdSnTe3Au structure. The functional is PBE-GGA.

extended XYZ file:
```
12
Lattice="2.1399 -7.4329 0.0000 2.1399 7.4329 0.0000 0.0000 0.0000 11.1519" Properties=species:S:1:pos:R:3 pbc="T T T"
Gd 0.0000 0.0000 0.0000
Gd 0.0000 0.0000 5.5760
Sn 2.1399 4.1299 8.3639
Sn 2.1399 -4.1299 2.7880
Te 2.1399 5.9975 2.7880
Te 2.1399 2.2165 0.6315
Te 2.1399 2.2165 4.9445
Te 2.1399 -2.2165 6.2074
Te 2.1399 -2.2165 10.5204
Te 2.1399 -5.9975 8.3639
Au 2.1399 0.4219 2.7880
Au 2.1399 -0.4219 8.3639
```

Values from the calculation:
**Crystal system**: orthorhombic
**ΔE to the lowest computed polymorph**: 0.001 eV/atom



Listing calculated volume for the structures above in their given order: 35.48; 21.29; 24.20; 14.43; 19.53; 13.04; 21.79; 29.56 Å³ per atom.
Listing raw total energy for the structures above in their given order: -3.79; -5.75; -4.48; -11.13; -6.12; -4.44; -6.24; -4.23 eV per atom.